(1)
Here is a PBEsol-optimized structure of CeScSb from the Alexandria database. Energies are from meta-GGA SCAN.

Unit cell a=4.398 b=4.398 c=8.690 alpha=104.66 beta=104.66 gamma=90.00
Atoms (fractional coordinates):
Ce 0.174 0.174 0.348
Sb 0.372 0.372 0.744
Sb 0.628 0.628 0.256
Ce 0.826 0.826 0.652
Sc 0.500 0.000 0.000
Sc 0.000 0.500 0.000

ΔE_f (raw): -868 meV/atom
V: 78 Å³/f.u.
final energy: -197.33 eV for the cell shown
space group: I4/mmm

***

(2)
Here is a PBEsol-optimized structure of Ce2SbTe from the Alexandria database. Energies are from meta-GGA SCAN.

Unit cell a=4.420 b=4.420 c=6.248 alpha=90.00 beta=90.00 gamma=90.00
Atoms (fractional coordinates):
Te 0.500 0.500 0.000
Ce 0.000 0.000 0.000
Ce 0.500 0.500 0.500
Sb 0.000 0.000 0.500

ΔE_f (raw): -1382 meV/atom
V: 122 Å³/f.u.
final energy: -169.17 eV for the cell shown
space group: P4/mmm

***

(3)
Here is a PBEsol-optimized structure of Ce2ScSi2 from the Alexandria database. Energies are from meta-GGA SCAN.

Unit cell a=4.287 b=7.191 c=7.191 alpha=90.00 beta=90.00 gamma=90.00
Atoms (fractional coordinates):
Ce 0.500 0.822 0.678
Sc 0.000 0.500 0.500
Si 0.000 0.880 0.380
Si 0.000 0.620 0.880
Si 0.000 0.380 0.120
Ce 0.500 0.678 0.178
Sc 0.000 0.000 0.000
Ce 0.500 0.178 0.322
Si 0.000 0.120 0.620
Ce 0.500 0.322 0.822

ΔE_f (raw): -651 meV/atom
V: 111 Å³/f.u.
final energy: -253.30 eV for the cell shown
space group: P4/mbm

***

(4)
Here is a PBEsol-optimized structure of Ce2SnSe4 from the Alexandria database. Energies are from meta-GGA SCAN.

Unit cell a=4.187 b=11.865 c=15.091 alpha=90.00 beta=90.00 gamma=90.00
Atoms (fractional coordinates):
Sn 0.250 0.244 0.839
Se 0.250 0.263 0.197
Se 0.750 0.737 0.803
Ce 0.250 0.057 0.100
Se 0.250 0.558 0.091
Ce 0.750 0.391 0.095
Sn 0.750 0.256 0.339
Se 0.750 0.984 0.215
Sn 0.750 0.756 0.161
Ce 0.250 0.609 0.905
Se 0.750 0.484 0.285
Ce 0.250 0.557 0.400
Ce 0.750 0.443 0.600
Ce 0.250 0.109 0.595
Se 0.750 0.442 0.909
Se 0.250 0.058 0.409
Se 0.750 0.942 0.591
Se 0.750 0.165 0.990
Sn 0.250 0.744 0.661
Se 0.250 0.335 0.490
Ce 0.750 0.891 0.405
Se 0.250 0.835 0.010
Se 0.250 0.016 0.785
Se 0.250 0.516 0.715
Se 0.250 0.763 0.303
Se 0.750 0.665 0.510
Se 0.750 0.237 0.697
Ce 0.750 0.943 0.900

ΔE_f (raw): -1518 meV/atom
V: 187 Å³/f.u.
final energy: -863.96 eV for the cell shown
space group: Pnma

***

(5)
Here is a PBEsol-optimized structure of Ce5Si3 from the Alexandria database. Energies are from meta-GGA SCAN.

Unit cell a=7.625 b=8.276 c=7.625 alpha=117.43 beta=90.00 gamma=117.43
Atoms (fractional coordinates):
Si 0.385 0.000 0.115
Ce 0.500 0.000 0.500
Ce 0.022 0.687 0.165
Ce 0.478 0.313 0.978
Ce 0.165 0.687 0.665
Si 0.115 0.000 0.615
Ce 0.000 0.000 0.000
Si 0.250 0.500 0.250
Ce 0.978 0.313 0.835
Si 0.615 0.000 0.885
Ce 0.835 0.313 0.335
Ce 0.665 0.687 0.522
Ce 0.335 0.313 0.478
Si 0.750 0.500 0.750
Ce 0.522 0.687 0.022
Si 0.885 0.000 0.385

ΔE_f (raw): -590 meV/atom
V: 183 Å³/f.u.
final energy: -515.18 eV for the cell shown
space group: I4/mcm

***

(6)
Here is a PBEsol-optimized structure of CeSi5 from the Alexandria database. Energies are from meta-GGA SCAN.

Unit cell a=3.754 b=5.749 c=5.749 alpha=62.61 beta=70.94 gamma=70.94
Atoms (fractional coordinates):
Si 0.500 0.000 0.000
Si 0.170 0.631 0.029
Si 0.170 0.029 0.631
Si 0.830 0.369 0.971
Ce 0.500 0.500 0.500
Si 0.830 0.971 0.369

ΔE_f (raw): -165 meV/atom
V: 102 Å³/f.u.
final energy: -95.63 eV for the cell shown
space group: Immm

***

(7)
Here is a PBEsol-optimized structure of Ce5Si4 from the Alexandria database. Energies are from meta-GGA SCAN.

Unit cell a=7.730 b=7.730 c=13.760 alpha=90.00 beta=90.00 gamma=90.00
Atoms (fractional coordinates):
Si 0.691 0.056 0.056
Ce 0.510 0.374 0.119
Si 0.556 0.809 0.806
Ce 0.874 0.990 0.869
Si 0.648 0.270 0.925
Si 0.309 0.944 0.556
Ce 0.637 0.637 0.000
Ce 0.010 0.126 0.631
Si 0.056 0.691 0.944
Si 0.352 0.730 0.425
Si 0.809 0.556 0.194
Ce 0.496 0.153 0.712
Si 0.270 0.648 0.075
Si 0.770 0.852 0.675
Ce 0.490 0.626 0.619
Ce 0.347 0.996 0.962
Ce 0.847 0.504 0.788
Ce 0.363 0.363 0.500
Ce 0.653 0.004 0.462
Ce 0.863 0.137 0.250
Ce 0.996 0.347 0.038
Si 0.852 0.770 0.325
Ce 0.137 0.863 0.750
Si 0.230 0.148 0.175
Ce 0.374 0.510 0.881
Si 0.944 0.309 0.444
Ce 0.153 0.496 0.288
Ce 0.626 0.490 0.381
Ce 0.126 0.010 0.369
Ce 0.504 0.847 0.212
Si 0.191 0.444 0.694
Ce 0.004 0.653 0.538
Si 0.730 0.352 0.575
Ce 0.990 0.874 0.131
Si 0.444 0.191 0.306
Si 0.148 0.230 0.825

ΔE_f (raw): -610 meV/atom
V: 206 Å³/f.u.
final energy: -1073.47 eV for the cell shown
space group: P4_12_12

***

(8)
Here is a PBEsol-optimized structure of CeSi from the Alexandria database. Energies are from meta-GGA SCAN.

Unit cell a=3.835 b=5.733 c=8.096 alpha=90.00 beta=90.00 gamma=90.00
Atoms (fractional coordinates):
Ce 0.750 0.884 0.818
Si 0.250 0.624 0.034
Si 0.750 0.376 0.966
Si 0.750 0.124 0.466
Si 0.250 0.876 0.534
Ce 0.250 0.116 0.182
Ce 0.750 0.616 0.318
Ce 0.250 0.384 0.682

ΔE_f (raw): -656 meV/atom
V: 44 Å³/f.u.
final energy: -223.57 eV for the cell shown
space group: Pnma

***

(9)
Here is a PBEsol-optimized structure of Ce4Sm from the Alexandria database. Energies are from meta-GGA SCAN.

Unit cell a=3.294 b=3.294 c=13.752 alpha=83.12 beta=83.12 gamma=60.00
Atoms (fractional coordinates):
Ce 0.404 0.404 0.789
Ce 0.801 0.801 0.597
Ce 0.596 0.596 0.211
Ce 0.199 0.199 0.403
Sm 0.000 0.000 0.000

formation enthalpy at 0 K: 1.53 kcal/mol of atoms
V: 128 Å³/f.u.
final energy: -222.37 eV for the cell shown
space group: R-3m

***

(10)
Here is a PBEsol-optimized structure of CeSmZn2 from the Alexandria database. Energies are from meta-GGA SCAN.

Unit cell a=5.039 b=5.039 c=5.039 alpha=60.00 beta=60.00 gamma=60.00
Atoms (fractional coordinates):
Sm 0.000 0.000 0.000
Ce 0.500 0.500 0.500
Zn 0.750 0.750 0.750
Zn 0.250 0.250 0.250

formation enthalpy at 0 K: -6.93 kcal/mol of atoms
V: 90 Å³/f.u.
final energy: -117.24 eV for the cell shown
space group: Fm-3m

***

(11)
Here is a PBEsol-optimized structure of CeSn3 from the Alexandria database. Energies are from meta-GGA SCAN.

Unit cell a=4.629 b=4.629 c=4.629 alpha=90.00 beta=90.00 gamma=90.00
Atoms (fractional coordinates):
Ce 0.000 0.000 0.000
Sn 0.500 0.500 0.000
Sn 0.500 0.000 0.500
Sn 0.000 0.500 0.500

formation enthalpy at 0 K: -13.27 kcal/mol of atoms
V: 99 Å³/f.u.
final energy: -154.63 eV for the cell shown
space group: Pm-3m

***

(12)
Here is a PBEsol-optimized structure of Ce3Sn from the Alexandria database. Energies are from meta-GGA SCAN.

Unit cell a=4.677 b=4.677 c=4.677 alpha=90.00 beta=90.00 gamma=90.00
Atoms (fractional coordinates):
Sn 0.000 0.000 0.000
Ce 0.500 0.000 0.500
Ce 0.000 0.500 0.500
Ce 0.500 0.500 0.000

formation enthalpy at 0 K: -11.59 kcal/mol of atoms
V: 102 Å³/f.u.
final energy: -171.62 eV for the cell shown
space group: Pm-3m

***

(13)
Here is a PBEsol-optimized structure of Ce2Sn5 from the Alexandria database. Energies are from meta-GGA SCAN.

Unit cell a=4.542 b=4.591 c=17.066 alpha=90.00 beta=97.65 gamma=90.00
Atoms (fractional coordinates):
Ce 0.431 0.000 0.861
Ce 0.704 0.000 0.408
Sn 0.639 0.500 0.278
Sn 0.139 0.000 0.277
Sn 0.361 0.500 0.722
Sn 0.929 0.500 0.859
Sn 0.071 0.500 0.141
Sn 0.500 0.500 0.000
Sn 0.781 0.500 0.563
Sn 0.861 0.000 0.723
Ce 0.569 0.000 0.139
Ce 0.296 0.000 0.592
Sn 0.219 0.500 0.437
Sn 0.000 0.000 0.000

formation enthalpy at 0 K: -14.41 kcal/mol of atoms
V: 176 Å³/f.u.
final energy: -546.21 eV for the cell shown
space group: Cmmm

***

(14)
Here is a PBEsol-optimized structure of Ce3Sn7 from the Alexandria database. Energies are from meta-GGA SCAN.

Unit cell a=4.503 b=4.563 c=12.551 alpha=90.00 beta=100.33 gamma=90.00
Atoms (fractional coordinates):
Sn 0.293 0.500 0.585
Sn 0.904 0.500 0.807
Sn 0.500 0.500 0.000
Sn 0.096 0.500 0.193
Sn 0.404 0.000 0.809
Ce 0.814 0.000 0.628
Sn 0.596 0.000 0.191
Sn 0.707 0.500 0.415
Ce 0.186 0.000 0.372
Ce 0.000 0.000 0.000

formation enthalpy at 0 K: -14.80 kcal/mol of atoms
V: 254 Å³/f.u.
final energy: -391.56 eV for the cell shown
space group: Cmmm

***

(15)
Here is a PBEsol-optimized structure of CeZnSn from the Alexandria database. Energies are from meta-GGA SCAN.

Unit cell a=4.658 b=4.658 c=7.225 alpha=90.00 beta=90.00 gamma=120.00
Atoms (fractional coordinates):
Sn 0.333 0.667 0.250
Ce 0.000 0.000 0.000
Zn 0.667 0.333 0.250
Sn 0.667 0.333 0.750
Ce 0.000 0.000 0.500
Zn 0.333 0.667 0.750

formation enthalpy at 0 K: -12.94 kcal/mol of atoms
V: 68 Å³/f.u.
final energy: -191.37 eV for the cell shown
space group: P6_3/mmc

***

(16)
Here is a PBEsol-optimized structure of Tb3Ce from the Alexandria database. Energies are from meta-GGA SCAN.

Unit cell a=5.610 b=6.986 c=6.986 alpha=120.00 beta=90.00 gamma=90.00
Atoms (fractional coordinates):
Tb 0.750 0.832 0.664
Tb 0.250 0.168 0.336
Tb 0.250 0.168 0.832
Ce 0.250 0.667 0.333
Tb 0.250 0.664 0.832
Ce 0.750 0.333 0.667
Tb 0.750 0.336 0.168
Tb 0.750 0.832 0.168

ΔE to the lowest computed polymorph: 0.008 eV per atom
formation enthalpy at 0 K: 1.54 kcal/mol of atoms
V: 119 Å³/f.u.
final energy: -369.17 eV for the cell shown
space group: P6_3/mmc

***

(17)
Here is a PBEsol-optimized structure of Tb3Ce from the Alexandria database. Energies are from meta-GGA SCAN.

Unit cell a=4.903 b=4.903 c=6.008 alpha=114.09 beta=114.09 gamma=90.00
Atoms (fractional coordinates):
Tb 0.250 0.750 0.500
Ce 0.000 0.000 0.000
Tb 0.750 0.250 0.500
Tb 0.500 0.500 0.000

ΔE to the lowest computed polymorph: 0.001 eV per atom
formation enthalpy at 0 K: 1.39 kcal/mol of atoms
V: 118 Å³/f.u.
final energy: -184.61 eV for the cell shown
space group: I4/mmm

***

(18)
Here is a PBEsol-optimized structure of Tb3Ce from the Alexandria database. Energies are from meta-GGA SCAN.

Unit cell a=3.461 b=3.461 c=11.280 alpha=90.00 beta=90.00 gamma=120.00
Atoms (fractional coordinates):
Tb 0.667 0.333 0.752
Tb 0.333 0.667 0.500
Ce 0.333 0.667 0.000
Tb 0.667 0.333 0.248

ΔE to the lowest computed polymorph: 0.000 eV per atom
formation enthalpy at 0 K: 1.36 kcal/mol of atoms
V: 117 Å³/f.u.
final energy: -184.62 eV for the cell shown
space group: P-6m2

***

(19)
Here is a PBEsol-optimized structure of Ce2Te3 from the Alexandria database. Energies are from meta-GGA SCAN.

Unit cell a=4.352 b=11.657 c=12.040 alpha=90.00 beta=90.00 gamma=90.00
Atoms (fractional coordinates):
Ce 0.250 0.999 0.805
Ce 0.250 0.314 0.986
Te 0.250 0.625 0.547
Ce 0.750 0.499 0.695
Te 0.750 0.059 0.623
Te 0.750 0.125 0.953
Te 0.250 0.559 0.877
Te 0.750 0.375 0.453
Ce 0.250 0.186 0.486
Te 0.250 0.941 0.377
Te 0.750 0.441 0.123
Ce 0.750 0.001 0.195
Te 0.250 0.295 0.727
Te 0.250 0.205 0.227
Ce 0.750 0.814 0.514
Te 0.750 0.795 0.773
Te 0.250 0.875 0.047
Ce 0.750 0.686 0.014
Te 0.750 0.705 0.273
Ce 0.250 0.501 0.305

ΔE_f (raw): -1572 meV/atom
V: 153 Å³/f.u.
final energy: -834.97 eV for the cell shown
space group: Pnma

***

(20)
Here is a PBEsol-optimized structure of CeTl3 from the Alexandria database. Energies are from meta-GGA SCAN.

Unit cell a=4.704 b=4.704 c=4.704 alpha=90.00 beta=90.00 gamma=90.00
Atoms (fractional coordinates):
Tl 0.500 0.500 0.000
Tl 0.000 0.500 0.500
Tl 0.500 0.000 0.500
Ce 0.000 0.000 0.000

formation enthalpy at 0 K: -8.29 kcal/mol of atoms
V: 104 Å³/f.u.
final energy: -263.08 eV for the cell shown
space group: Pm-3m

***

(21)
Here is a PBEsol-optimized structure of CeYTl2 from the Alexandria database. Energies are from meta-GGA SCAN.

Unit cell a=5.336 b=5.336 c=5.336 alpha=60.00 beta=60.00 gamma=60.00
Atoms (fractional coordinates):
Tl 0.250 0.250 0.250
Tl 0.750 0.750 0.750
Y 0.000 0.000 0.000
Ce 0.500 0.500 0.500

formation enthalpy at 0 K: -12.40 kcal/mol of atoms
V: 107 Å³/f.u.
final energy: -219.27 eV for the cell shown
space group: Fm-3m

***

(22)
Here is a PBEsol-optimized structure of CeTlZn from the Alexandria database. Energies are from meta-GGA SCAN.

Unit cell a=4.848 b=4.848 c=6.610 alpha=90.00 beta=90.00 gamma=120.00
Atoms (fractional coordinates):
Ce 0.000 0.000 0.500
Tl 0.667 0.333 0.750
Zn 0.667 0.333 0.250
Tl 0.333 0.667 0.250
Zn 0.333 0.667 0.750
Ce 0.000 0.000 0.000

formation enthalpy at 0 K: -8.43 kcal/mol of atoms
V: 67 Å³/f.u.
final energy: -263.07 eV for the cell shown
space group: P6_3/mmc

***

(23)
Here is a PBEsol-optimized structure of CeTm3 from the Alexandria database. Energies are from meta-GGA SCAN.

Unit cell a=4.850 b=4.850 c=5.910 alpha=114.22 beta=114.22 gamma=90.00
Atoms (fractional coordinates):
Tm 0.500 0.500 0.000
Tm 0.750 0.250 0.500
Tm 0.250 0.750 0.500
Ce 0.000 0.000 0.000

formation enthalpy at 0 K: 1.40 kcal/mol of atoms
V: 113 Å³/f.u.
final energy: -199.82 eV for the cell shown
space group: I4/mmm